1:
A plane-wave DFT calculation with GGA-PBEsol was carried out for a geometry-optimized Al2FeO4 structure.

Computed properties:
Calculated density in Mg/m³: 4.30
Size of the total moment in μB/f.u.: 4.0

Unit cell a=5.7478 b=5.7485 c=5.7478 alpha=60.00 beta=90.00 gamma=120.00
Closest atoms and distances in Å follow each position.
Element x y z (fractional)
O 0.6397 0.2794 0.6396  3 Al 1.92, 1 Fe 1.97
O 0.1103 0.2206 0.1104  3 Al 1.92, 1 Fe 1.97
O 0.1104 0.7794 0.1103  3 Al 1.92, 1 Fe 1.97
O 0.6396 0.7206 0.6397  3 Al 1.92, 1 Fe 1.97
Al 0.8750 0.7500 0.8750  6 O 1.92
Fe 0.5000 0.0000 0.5000  4 O 1.97
Al 0.8750 0.7500 0.3750  6 O 1.92
O 0.6397 0.2794 0.0810  3 Al 1.92, 1 Fe 1.97
Fe 0.2500 0.5000 0.2500  4 O 1.97
O 0.1103 0.2206 0.6690  3 Al 1.92, 1 Fe 1.97
O 0.6690 0.7794 0.1103  3 Al 1.92, 1 Fe 1.97
O 0.0810 0.7206 0.6397  3 Al 1.92, 1 Fe 1.97
Al 0.3750 0.2500 0.8750  6 O 1.92
Al 0.8750 0.2500 0.8750  6 O 1.92

2:
A plane-wave DFT calculation with GGA-PBEsol was carried out for a geometry-optimized Al2FeO4 structure.

Computed properties:
Calculated density in Mg/m³: 4.34
Size of the total moment in μB/f.u.: 4.0

Unit cell a=5.5173 b=5.7549 c=5.7549 alpha=61.33 beta=61.36 gamma=61.36
Closest atoms and distances in Å follow each position.
Element x y z (fractional)
Fe 0.0000 0.0000 0.5000  6 O 2.07-2.08
Al 0.0000 0.0000 0.0000  6 O 1.89-1.96
Al 0.0000 0.5000 0.5000  6 O 1.89-1.96
O 0.7702 0.2415 0.2181  2 Al 1.78-1.89
O 0.2394 0.7473 0.2473  3 Al 1.82-1.96
O 0.7702 0.7181 0.7415  2 Al 1.78-1.89
O 0.7606 0.2527 0.7527  3 Al 1.82-1.96
O 0.7660 0.7473 0.2473  3 Al 1.82-1.96
O 0.2340 0.2527 0.7527  3 Al 1.82-1.96
O 0.2298 0.2819 0.2585  2 Al 1.78-1.89
Al 0.6361 0.6139 0.1139  4 O 1.78-1.82
O 0.2298 0.7585 0.7819  2 Al 1.78-1.89
Fe 0.5000 0.0000 0.5000  6 O 2.07-2.08
Al 0.3639 0.3861 0.8861  4 O 1.78-1.82

Most stable = 1

1:
A plane-wave DFT calculation with GGA-PBEsol was carried out for a geometry-optimized Al3FeSi2 structure.

Computed properties:
Calculated density in Mg/m³: 3.75
Size of the total moment in μB/f.u.: 0.0

Unit cell a=6.0022 b=6.3616 c=6.0022 alpha=61.85 beta=90.00 gamma=118.15
Closest atoms and distances in Å follow each position.
Element x y z (fractional)
Al 0.4833 0.2896 0.0167  2 Fe 2.48, 4 Si 2.56-2.76, 3 Al 2.65-2.74
Al 0.9833 0.2896 0.1936  2 Fe 2.48, 4 Si 2.56-2.76, 3 Al 2.65-2.74
Fe 0.2545 0.5091 0.7455  6 Al 2.31-2.48, 4 Si 2.48
Si 0.5013 0.7080 0.9987  2 Fe 2.48, 1 Si 2.50, 6 Al 2.56-2.76
Si 0.2067 0.7080 0.2933  2 Fe 2.48, 1 Si 2.50, 6 Al 2.56-2.76
Al 0.3064 0.2896 0.5167  2 Fe 2.48, 4 Si 2.56-2.76, 3 Al 2.65-2.74
Al 0.8064 0.2896 0.6936  2 Fe 2.48, 4 Si 2.56-2.76, 3 Al 2.65-2.74
Si 0.0013 0.7080 0.7933  2 Fe 2.48, 1 Si 2.50, 6 Al 2.56-2.76
Al 0.9978 0.9956 0.0022  2 Fe 2.31-2.43
Fe 0.7545 0.5091 0.2455  6 Al 2.31-2.48, 4 Si 2.48
Al 0.4978 0.9956 0.5022  2 Fe 2.31-2.43
Si 0.7067 0.7080 0.4987  2 Fe 2.48, 1 Si 2.50, 6 Al 2.56-2.76

2:
A plane-wave DFT calculation with GGA-PBEsol was carried out for a geometry-optimized Al3FeSi2 structure.

Computed properties:
Calculated density in Mg/m³: 3.77
Size of the total moment in μB/f.u.: 0.0

Unit cell a=6.0084 b=6.0081 c=9.4079 alpha=90.00 beta=90.00 gamma=90.00
Closest atoms and distances in Å follow each position.
Element x y z (fractional)
Si 0.8342 0.8236 0.8437  2 Fe 2.40-2.43, 3 Al 2.58-2.63, 1 Si 2.66
Fe 0.5000 0.9852 0.7500  6 Al 2.35-2.59, 4 Si 2.40-2.43
Al 0.1371 0.8708 0.3661  2 Fe 2.54-2.59, 4 Si 2.58-2.75, 3 Al 2.63-2.74
Fe 0.0000 0.4852 0.7500  6 Al 2.35-2.59, 4 Si 2.40-2.43
Al 0.1371 0.1292 0.8661  2 Fe 2.54-2.59, 4 Si 2.58-2.75, 3 Al 2.63-2.74
Al 0.5000 0.0000 0.0000  2 Fe 2.35, 2 Si 2.63, 2 Al 2.63
Al 0.6371 0.6292 0.6339  2 Fe 2.54-2.59, 4 Si 2.58-2.75, 3 Al 2.63-2.74
Al 0.0000 0.5000 0.0000  2 Fe 2.35, 2 Si 2.63, 2 Al 2.63
Si 0.1658 0.1764 0.1563  2 Fe 2.40-2.43, 3 Al 2.58-2.63, 1 Si 2.66
Si 0.3342 0.6764 0.1563  2 Fe 2.40-2.43, 3 Al 2.58-2.63, 1 Si 2.66
Al 0.3629 0.3708 0.3661  2 Fe 2.54-2.59, 4 Si 2.58-2.75, 3 Al 2.63-2.74
Al 0.3629 0.6292 0.8661  2 Fe 2.54-2.59, 4 Si 2.58-2.75, 3 Al 2.63-2.74
Si 0.3342 0.3236 0.6563  2 Fe 2.40-2.43, 3 Al 2.58-2.63, 1 Si 2.66
Si 0.6658 0.3236 0.8437  2 Fe 2.40-2.43, 3 Al 2.58-2.63, 1 Si 2.66
Si 0.6658 0.6764 0.3437  2 Fe 2.40-2.43, 3 Al 2.58-2.63, 1 Si 2.66
Fe 0.5000 0.0148 0.2500  6 Al 2.35-2.59, 4 Si 2.40-2.43
Al 0.5000 0.0000 0.5000  2 Fe 2.35, 2 Si 2.63, 2 Al 2.63
Si 0.1658 0.8236 0.6563  2 Fe 2.40-2.43, 3 Al 2.58-2.63, 1 Si 2.66
Al 0.8629 0.1292 0.6339  2 Fe 2.54-2.59, 4 Si 2.58-2.75, 3 Al 2.63-2.74
Al 0.8629 0.8708 0.1339  2 Fe 2.54-2.59, 4 Si 2.58-2.75, 3 Al 2.63-2.74
Si 0.8342 0.1764 0.3437  2 Fe 2.40-2.43, 3 Al 2.58-2.63, 1 Si 2.66
Al 0.0000 0.5000 0.5000  2 Fe 2.35, 2 Si 2.63, 2 Al 2.63
Al 0.6371 0.3708 0.1339  2 Fe 2.54-2.59, 4 Si 2.58-2.75, 3 Al 2.63-2.74
Fe 0.0000 0.5148 0.2500  6 Al 2.35-2.59, 4 Si 2.40-2.43

Most stable = 2

1:
A plane-wave DFT calculation with GGA-PBEsol was carried out for a geometry-optimized AlFeW3 structure.

Computed properties:
Calculated density in Mg/m³: 11.91
Size of the total moment in μB/f.u.: 2.3

Unit cell a=4.4555 b=4.4555 c=4.4555 alpha=90.00 beta=90.00 gamma=90.00
Closest atoms and distances in Å follow each position.
Element x y z (fractional)
W 0.0000 0.0000 0.5000  2 Al 2.23
W 0.5000 0.0000 0.0000  2 Al 2.23
Al 0.0000 0.0000 0.0000  6 W 2.23
Fe 0.5000 0.5000 0.5000  12 W 3.15
W 0.0000 0.5000 0.0000  2 Al 2.23

2:
A plane-wave DFT calculation with GGA-PBEsol was carried out for a geometry-optimized AlFeW3 structure.

Computed properties:
Calculated density in Mg/m³: 12.26
Size of the total moment in μB/f.u.: 0.0

Unit cell a=4.4126 b=4.4126 c=4.4126 alpha=90.00 beta=90.00 gamma=90.00
Closest atoms and distances in Å follow each position.
Element x y z (fractional)
W 0.0000 0.0000 0.5000  2 Fe 2.21
Fe 0.0000 0.0000 0.0000  6 W 2.21
W 0.5000 0.0000 0.0000  2 Fe 2.21
W 0.0000 0.5000 0.0000  2 Fe 2.21
Al 0.5000 0.5000 0.5000  12 W 3.12

Most stable = 2